ErGa3Pd3 | PBE-GGA | relaxed

Cell lengths 6.773, 6.773, 6.773 Å; angles 90.00, 90.00, 90.00 degrees
Space group Pm-3n (No. 223)
Asymmetric unit:
Er 0.000 0.000 0.000 x2
Ga 0.000 0.250 0.500 x6
Pd 0.000 0.500 0.250 x6

Properties
The calculated volume is 310.7 Å³ per cell. The total magnetic moment comes out at 0.000 μB/cell. The value obtained for the relative energy among the computed polymorphs is 0.443 eV per atom. As for the formation energy: -0.22 eV per atom.